No. 1
VASP calculation (GGA-PBE) on a geometry-optimized Dy5InAu4 structure.

Formation energy from the elements (meV/atom): -781.6
M_tot (Bohr magnetons per cell): 0.0

```
data_Dy5InAu4
_symmetry_space_group_name_H-M 'P 4/m m m'
_symmetry_Int_Tables_number 123
_symmetry_space_group_name_Hall '-P 4 2'
_cell_length_a 3.587
_cell_length_b 3.587
_cell_length_c 18.632
_cell_angle_alpha 90.00
_cell_angle_beta 90.00
_cell_angle_gamma 90.00
loop_
_atom_site_label
_atom_site_fract_x
_atom_site_fract_y
_atom_site_fract_z
_atom_site_occupancy
Dy1 0.000 0.000 0.000 1
Dy2 0.000 0.000 0.195 1
Dy3 0.000 0.000 0.388 1
In1 0.500 0.500 0.500 1
Au1 0.500 0.500 0.097 1
Au2 0.500 0.500 0.294 1
```


No. 2
VASP calculation (GGA-PBE) on a geometry-optimized Dy3In2Au3 structure.

Formation energy from the elements (meV/atom): -639.9
M_tot (Bohr magnetons per cell): 0.0

```
data_Dy3In2Au3
_symmetry_space_group_name_H-M 'I m m m'
_symmetry_Int_Tables_number 71
_symmetry_space_group_name_Hall '-I 2 2'
_cell_length_a 3.648
_cell_length_b 5.096
_cell_length_c 20.445
_cell_angle_alpha 90.00
_cell_angle_beta 90.00
_cell_angle_gamma 90.00
loop_
_atom_site_label
_atom_site_fract_x
_atom_site_fract_y
_atom_site_fract_z
_atom_site_occupancy
Dy1 0.000 0.000 0.000 1
Dy2 0.000 0.500 0.126 1
In1 0.000 0.000 0.236 1
Au1 0.000 0.000 0.500 1
Au2 0.000 0.500 0.384 1
```